(1)
Entry from Alexandria: a relaxed structure of Dy2TeO6 (PBE-GGA).

The uncorrected formation energy is -2554 meV per atom.

Cell and atoms, written as extended XYZ:
```
27
Lattice="9.1479 0.0000 0.0000 -4.5740 7.9223 0.0000 0.0000 0.0000 5.2278" Properties=species:S:1:pos:R:3 pbc="T T T"
Dy -1.2875 2.2301 0.0000
Dy -2.8289 4.8998 2.6139
Dy 2.5751 0.0000 0.0000
Dy 1.7451 3.0225 2.6139
Dy 5.6578 0.0000 2.6139
Dy 3.2864 5.6922 0.0000
Te 0.0000 0.0000 2.6139
Te 0.0000 5.2815 5.2147
Te 4.5740 2.6408 0.0131
O -3.3046 6.9483 1.5096
O 0.2088 1.5863 1.5096
O -1.2764 4.3123 1.1011
O 1.2694 0.9740 3.7182
O -1.4123 6.0445 4.0911
O 0.0454 3.6770 4.0911
O -0.2012 6.8715 1.1011
O 1.4776 4.6608 1.1011
O 3.1616 1.8778 1.1367
O 1.3669 6.1232 4.0911
O 4.3728 1.0508 4.1267
O 3.2976 3.6100 4.1267
O 5.9408 1.7991 1.1367
O 4.6194 4.2453 1.1367
O 3.0957 7.3100 1.5096
O 6.0515 3.2615 4.1267
O 7.6697 0.6123 3.7182
O 4.7828 6.3360 3.7182
```

(2)
Entry from Alexandria: a relaxed structure of NiMoPt2 (PBE-GGA).

For the total energy, the calculation gives -7.44 eV per atom.

Cell and atoms, written as extended XYZ:
```
4
Lattice="-1.9180 1.9180 3.9189 1.9180 -1.9180 3.9189 1.9180 1.9180 -3.9189" Properties=species:S:1:pos:R:3 pbc="T T T"
Ni 0.0000 0.0000 0.0000
Mo 0.0000 0.0000 3.9189
Pt 1.9180 0.0000 1.9594
Pt 0.0000 1.9180 1.9594
```

(3)
Entry from Alexandria: a relaxed structure of Sc8Cu2Ir (PBE-GGA).

For the total energy, the calculation gives -6.35 eV per atom.

Cell and atoms, written as extended XYZ:
```
11
Lattice="3.8864 -6.3382 0.0000 3.8864 6.3382 0.0000 -1.7815 0.0000 4.6834" Properties=species:S:1:pos:R:3 pbc="T T T"
Sc 0.5398 1.5004 2.8382
Sc 3.8864 3.6960 0.0000
Sc 0.5398 -1.5004 2.8382
Sc 2.5279 0.0000 0.8966
Sc 3.4636 0.0000 3.7868
Sc 5.4516 1.5004 1.8451
Sc 3.8864 -3.6960 0.0000
Sc 5.4516 -1.5004 1.8451
Cu 2.9957 2.5144 2.3417
Cu 2.9957 -2.5144 2.3417
Ir 0.0000 0.0000 0.0000
```

(4)
Entry from Alexandria: a relaxed structure of BaAg2Rh (PBE-GGA).

For the total energy, the calculation gives -3.64 eV per atom.

Cell and atoms, written as extended XYZ:
```
4
Lattice="5.9172 -1.7076 0.0000 5.9172 1.7076 0.0000 -2.1078 0.0000 4.5407" Properties=species:S:1:pos:R:3 pbc="T T T"
Ba 0.0000 0.0000 0.0000
Ag 1.0458 0.0000 3.2493
Ag 8.6808 0.0000 1.2914
Rh 4.8633 0.0000 2.2703
```

Number 1: D(E_F) 0.0000 states/eV per atom. Number 2: D(E_F) 0.8062 states/eV per atom. Number 3: D(E_F) 1.3424 states/eV per atom. Number 4: D(E_F) 0.4870 states/eV per atom.